## ZrCoO3 (PBE+U)

Data for a relaxed structure of ZrCoO3.

Output
- raw total energy (eV per atom) = -8.04

abc: 5.412 5.412 5.679
angles: 61.55 61.55 60.00
Atoms (fractional coordinates):
Zr 0.859 0.859 0.424
Zr 0.141 0.141 0.576
Co 0.643 0.643 0.070
Co 0.357 0.357 0.930
O 0.951 0.245 0.253
O 0.550 0.951 0.253
O 0.245 0.550 0.253
O 0.755 0.450 0.747
O 0.450 0.049 0.747
O 0.049 0.755 0.747